[1]
CsTbBe2Br8: optimized geometry, PBE.

Cell lengths 6.6767, 6.6767, 11.2793 Å; angles 72.78, 72.78, 60.00 degrees
Atoms (fractional coordinates):
Cs (0.5000, 0.5000, 0.5000)
Tb (0.0000, 0.0000, 0.0000)
Be (0.2569, 0.2569, 0.2294)
Be (0.7431, 0.7431, 0.7706)
Br (0.1903, 0.1903, 0.4291)
Br (0.5961, 0.2804, 0.1583)
Br (0.8097, 0.8097, 0.5709)
Br (0.9652, 0.5961, 0.1583)
Br (0.0348, 0.4039, 0.8417)
Br (0.2804, 0.9652, 0.1583)
Br (0.7196, 0.0348, 0.8417)
Br (0.4039, 0.7196, 0.8417)

Summary:
Formation energy without anion corrections, kJ per mole of atoms: -136
Size of the total moment, μB/cell: 0.0
Volume, A^3/atom: 34.10

***

[2]
Cs2BeTcBr6: optimized geometry, PBE.

Cell lengths 7.5421, 7.5421, 7.8528 Å; angles 61.30, 61.30, 90.00 degrees
Atoms (fractional coordinates):
Cs (0.7500, 0.2500, 0.5000)
Cs (0.2500, 0.7500, 0.5000)
Be (0.5000, 0.5000, 0.0000)
Tc (0.0000, 0.0000, 0.0000)
Br (0.2251, 0.2251, 0.5499)
Br (0.7749, 0.7749, 0.4501)
Br (0.2781, 0.2781, 0.0000)
Br (0.7219, 0.7219, 0.0000)
Br (0.7219, 0.2781, 0.0000)
Br (0.2781, 0.7219, 0.0000)

Summary:
Formation energy without anion corrections, kJ per mole of atoms: -82
Size of the total moment, μB/cell: 5.0
Volume, A^3/atom: 32.79

***

[3]
Cs2BeTeBr6: optimized geometry, PBE.

Cell lengths 7.8213, 7.8213, 8.0378 Å; angles 60.89, 60.89, 90.00 degrees
Atoms (fractional coordinates):
Cs (0.7500, 0.2500, 0.5000)
Cs (0.2500, 0.7500, 0.5000)
Be (0.5000, 0.5000, 0.0000)
Te (0.0000, 0.0000, 0.0000)
Br (0.2335, 0.2335, 0.5331)
Br (0.7665, 0.7665, 0.4669)
Br (0.2886, 0.2886, 0.0000)
Br (0.7114, 0.7114, 0.0000)
Br (0.7114, 0.2886, 0.0000)
Br (0.2886, 0.7114, 0.0000)

Summary:
Formation energy without anion corrections, kJ per mole of atoms: -89
Size of the total moment, μB/cell: 0.0
Volume, A^3/atom: 35.68

***

[4]
CsTiBe2Br8: optimized geometry, PBE.

Cell lengths 6.4726, 6.4726, 11.2460 Å; angles 73.28, 73.28, 60.00 degrees
Atoms (fractional coordinates):
Cs (0.5000, 0.5000, 0.5000)
Ti (0.0000, 0.0000, 0.0000)
Be (0.2630, 0.2630, 0.2109)
Be (0.7370, 0.7370, 0.7891)
Br (0.1962, 0.1962, 0.4115)
Br (0.6191, 0.2719, 0.1439)
Br (0.8038, 0.8038, 0.5885)
Br (0.9651, 0.6191, 0.1439)
Br (0.0349, 0.3809, 0.8561)
Br (0.2719, 0.9651, 0.1439)
Br (0.7281, 0.0349, 0.8561)
Br (0.3809, 0.7281, 0.8561)

Summary:
Formation energy without anion corrections, kJ per mole of atoms: -112
Size of the total moment, μB/cell: 1.0
Volume, A^3/atom: 32.07

***

[5]
CsBe2TlBr6: optimized geometry, PBE.

Cell lengths 9.3251, 9.3251, 10.2636 Å; angles 104.68, 104.68, 98.74 degrees
Atoms (fractional coordinates):
Cs (0.1513, 0.8487, 0.2500)
Cs (0.8487, 0.1513, 0.7500)
Be (0.3628, 0.1389, 0.7031)
Be (0.8611, 0.6372, 0.7969)
Be (0.6372, 0.8611, 0.2969)
Be (0.1389, 0.3628, 0.2031)
Tl (0.5822, 0.4178, 0.2500)
Tl (0.4178, 0.5822, 0.7500)
Br (0.9215, 0.3989, 0.1394)
Br (0.6011, 0.0785, 0.3606)
Br (0.0785, 0.6011, 0.8606)
Br (0.3989, 0.9215, 0.6394)
Br (0.2037, 0.1808, 0.0859)
Br (0.8192, 0.7963, 0.4141)
Br (0.7963, 0.8192, 0.9141)
Br (0.1808, 0.2037, 0.5859)
Br (0.3029, 0.5224, 0.3801)
Br (0.4776, 0.6971, 0.1199)
Br (0.6971, 0.4776, 0.6199)
Br (0.5224, 0.3029, 0.8801)

Summary:
Formation energy without anion corrections, kJ per mole of atoms: -110
Size of the total moment, μB/cell: 0.0
Volume, A^3/atom: 40.63

***

[6]
CsBeTlBr4: optimized geometry, PBE.

Cell lengths 6.9221, 7.5249, 10.2323 Å; angles 90.00, 110.83, 90.00 degrees
Atoms (fractional coordinates):
Cs (0.6687, 0.7500, 0.8992)
Cs (0.3313, 0.2500, 0.1008)
Be (0.1738, 0.7500, 0.2890)
Be (0.8262, 0.2500, 0.7110)
Tl (0.8008, 0.7500, 0.4690)
Tl (0.1992, 0.2500, 0.5310)
Br (0.0236, 0.4882, 0.7660)
Br (0.9764, 0.9882, 0.2340)
Br (0.9764, 0.5118, 0.2340)
Br (0.0236, 0.0118, 0.7660)
Br (0.3892, 0.7500, 0.1737)
Br (0.6108, 0.2500, 0.8263)
Br (0.3421, 0.7500, 0.5180)
Br (0.6579, 0.2500, 0.4820)

Summary:
Formation energy without anion corrections, kJ per mole of atoms: -120
Size of the total moment, μB/cell: 0.0
Volume, A^3/atom: 35.58

***

[7]
CsTmBe2Br8: optimized geometry, PBE.

Cell lengths 6.6309, 6.6309, 11.3371 Å; angles 73.00, 73.00, 60.00 degrees
Atoms (fractional coordinates):
Cs (0.5000, 0.5000, 0.5000)
Tm (0.0000, 0.0000, 0.0000)
Be (0.2588, 0.2588, 0.2237)
Be (0.7412, 0.7412, 0.7763)
Br (0.1925, 0.1925, 0.4225)
Br (0.6015, 0.2790, 0.1541)
Br (0.8075, 0.8075, 0.5775)
Br (0.9653, 0.6015, 0.1541)
Br (0.0347, 0.3985, 0.8459)
Br (0.2790, 0.9653, 0.1541)
Br (0.7210, 0.0347, 0.8459)
Br (0.3985, 0.7210, 0.8459)

Summary:
Formation energy without anion corrections, kJ per mole of atoms: -136
Size of the total moment, μB/cell: 0.0
Volume, A^3/atom: 33.86

***

[8]
CsBe2ZnBr8: optimized geometry, PBE.

Cell lengths 6.5265, 6.5265, 10.6764 Å; angles 72.20, 72.20, 60.00 degrees
Atoms (fractional coordinates):
Cs (0.5000, 0.5000, 0.5000)
Be (0.2607, 0.2607, 0.2180)
Be (0.7393, 0.7393, 0.7820)
Zn (0.0000, 0.0000, 0.0000)
Br (0.1880, 0.1880, 0.4360)
Br (0.6098, 0.2724, 0.1550)
Br (0.8120, 0.8120, 0.5640)
Br (0.9628, 0.6098, 0.1550)
Br (0.0372, 0.3902, 0.8450)
Br (0.2724, 0.9628, 0.1550)
Br (0.7276, 0.0372, 0.8450)
Br (0.3902, 0.7276, 0.8450)

Summary:
Formation energy without anion corrections, kJ per mole of atoms: -89
Size of the total moment, μB/cell: 1.0
Volume, A^3/atom: 30.71

***

[9]
CsZrBe2Br: optimized geometry, PBE.

Cell lengths 5.0429, 12.3135, 5.0429 Å; angles 90.00, 90.00, 90.00 degrees
Atoms (fractional coordinates):
Cs (0.0000, 0.5000, 0.0000)
Be (0.0000, 0.0000, 0.5000)
Be (0.5000, 0.0000, 0.0000)
Br (0.5000, 0.5000, 0.5000)
Zr (0.0000, 0.0000, 0.0000)

Summary:
Formation energy without anion corrections, kJ per mole of atoms: 94
Size of the total moment, μB/cell: 2.4
Volume, A^3/atom: 62.63

***

[10]
BeCu2Br: optimized geometry, PBE.

Cell lengths 2.7312, 2.7313, 9.0930 Å; angles 90.00, 90.00, 89.97 degrees
Atoms (fractional coordinates):
Be (0.5000, 0.5000, 0.2500)
Cu (0.0000, 0.0000, 0.1060)
Cu (0.0000, 0.0000, 0.3940)
Br (0.5000, 0.5000, 0.7500)

Summary:
Formation energy without anion corrections, kJ per mole of atoms: 34
Offset from the most stable computed form, eV per atom: 0.235
Size of the total moment, μB/cell: 0.0
Volume, A^3/atom: 16.96

***

[11]
BeCuBr2: optimized geometry, PBE.

Cell lengths 7.6640, 7.6640, 7.6640 Å; angles 154.60, 143.26, 45.19 degrees
Atoms (fractional coordinates):
Be (0.2197, 0.7197, 0.5000)
Cu (0.3333, 0.3333, 0.0000)
Br (0.1180, 0.1180, 0.0000)
Br (0.8291, 0.3291, 0.5000)

Summary:
Formation energy without anion corrections, kJ per mole of atoms: -4
Offset from the most stable computed form, eV per atom: 0.121
Size of the total moment, μB/cell: 0.0
Volume, A^3/atom: 28.79

***

[12]
BeCu4Br: optimized geometry, PBE.

Cell lengths 4.9630, 4.9630, 4.9630 Å; angles 60.00, 60.00, 60.00 degrees
Atoms (fractional coordinates):
Be (0.7500, 0.7500, 0.7500)
Cu (0.8720, 0.3760, 0.3760)
Cu (0.3760, 0.3760, 0.8720)
Cu (0.3760, 0.8720, 0.3760)
Cu (0.3760, 0.3760, 0.3760)
Br (0.0000, 0.0000, 0.0000)

Summary:
Formation energy without anion corrections, kJ per mole of atoms: 50
Size of the total moment, μB/cell: 0.0
Volume, A^3/atom: 14.41

***

[13]
BeCu2Br: optimized geometry, PBE.

Cell lengths 6.1865, 6.1865, 6.1865 Å; angles 149.58, 148.59, 44.29 degrees
Atoms (fractional coordinates):
Be (0.5225, 0.5225, 0.0000)
Cu (0.0071, 0.0071, 0.0000)
Cu (0.6662, 0.1662, 0.5000)
Br (0.3041, 0.8041, 0.5000)

Summary:
Formation energy without anion corrections, kJ per mole of atoms: 26
Offset from the most stable computed form, eV per atom: 0.156
Size of the total moment, μB/cell: 0.0
Volume, A^3/atom: 15.57

***

[14]
BeCu2Br: optimized geometry, PBE.

Cell lengths 5.9190, 5.9190, 5.9190 Å; angles 35.68, 35.68, 35.68 degrees
Atoms (fractional coordinates):
Be (0.2500, 0.2500, 0.2500)
Cu (0.9658, 0.9658, 0.9658)
Cu (0.5342, 0.5342, 0.5342)
Br (0.7500, 0.7500, 0.7500)

Summary:
Formation energy without anion corrections, kJ per mole of atoms: 24
Offset from the most stable computed form, eV per atom: 0.131
Size of the total moment, μB/cell: 0.0
Volume, A^3/atom: 15.77

***

[15]
BeCuBr4: optimized geometry, PBE.

Cell lengths 6.2518, 6.2518, 6.2518 Å; angles 60.00, 60.00, 60.00 degrees
Atoms (fractional coordinates):
Be (0.0000, 0.0000, 0.0000)
Cu (0.7500, 0.7500, 0.7500)
Br (0.8749, 0.3750, 0.3750)
Br (0.3750, 0.3750, 0.8749)
Br (0.3750, 0.8749, 0.3750)
Br (0.3750, 0.3750, 0.3750)

Summary:
Formation energy without anion corrections, kJ per mole of atoms: 115
Offset from the most stable computed form, eV per atom: 1.675
Size of the total moment, μB/cell: 1.3
Volume, A^3/atom: 28.80

***

[16]
BeCu2Br: optimized geometry, PBE.

Cell lengths 3.1578, 5.8236, 3.7116 Å; angles 90.00, 90.00, 90.00 degrees
Atoms (fractional coordinates):
Be (0.5000, 0.0000, 0.5000)
Cu (0.0000, 0.0000, 0.0000)
Cu (0.5000, 0.5000, 0.0000)
Br (0.0000, 0.5000, 0.5000)

Summary:
Formation energy without anion corrections, kJ per mole of atoms: 56
Offset from the most stable computed form, eV per atom: 0.466
Size of the total moment, μB/cell: 0.0
Volume, A^3/atom: 17.06

***

[17]
BeCu2Br: optimized geometry, PBE.

Cell lengths 3.7817, 3.7817, 6.1692 Å; angles 110.06, 110.06, 60.41 degrees
Atoms (fractional coordinates):
Be (0.4028, 0.4028, 0.7073)
Cu (0.1245, 0.1245, 0.8527)
Cu (0.7096, 0.7096, 0.6359)
Br (0.2630, 0.2630, 0.3040)

Summary:
Formation energy without anion corrections, kJ per mole of atoms: 11
Offset from the most stable computed form, eV per atom: 0.000
Size of the total moment, μB/cell: 0.0
Volume, A^3/atom: 17.61

***

[18]
BeCu2Br: optimized geometry, PBE.

Cell lengths 6.2429, 6.2429, 6.2429 Å; angles 148.15, 148.15, 45.67 degrees
Atoms (fractional coordinates):
Be (0.5000, 0.5000, 0.0000)
Cu (0.0000, 0.0000, 0.0000)
Cu (0.2500, 0.7500, 0.5000)
Br (0.7500, 0.2500, 0.5000)

Summary:
Formation energy without anion corrections, kJ per mole of atoms: 55
Offset from the most stable computed form, eV per atom: 0.449
Size of the total moment, μB/cell: 0.0
Volume, A^3/atom: 16.89

***

[19]
BeCuBr2: optimized geometry, PBE.

Cell lengths 4.8497, 4.8497, 4.8497 Å; angles 60.00, 60.00, 60.00 degrees
Atoms (fractional coordinates):
Be (0.5000, 0.5000, 0.5000)
Cu (0.2500, 0.2500, 0.2500)
Br (0.0000, 0.0000, 0.0000)
Br (0.7500, 0.7500, 0.7500)

Summary:
Formation energy without anion corrections, kJ per mole of atoms: 86
Offset from the most stable computed form, eV per atom: 1.054
Size of the total moment, μB/cell: 0.0
Volume, A^3/atom: 20.16

***

[20]
BeCuBr4: optimized geometry, PBE.

Cell lengths 6.8570, 6.8570, 9.2327 Å; angles 90.00, 90.00, 90.00 degrees
Atoms (fractional coordinates):
Be (0.0000, 0.5000, 0.0000)
Be (0.5000, 0.0000, 0.5000)
Cu (0.0000, 0.0000, 0.5000)
Cu (0.0000, 0.0000, 0.0000)
Br (0.7357, 0.2335, 0.5000)
Br (0.7665, 0.2643, 0.0000)
Br (0.7357, 0.7665, 0.5000)
Br (0.2335, 0.7357, 0.0000)
Br (0.2643, 0.7665, 0.5000)
Br (0.2335, 0.2643, 0.0000)
Br (0.7665, 0.7357, 0.0000)
Br (0.2643, 0.2335, 0.5000)

Summary:
Formation energy without anion corrections, kJ per mole of atoms: -47
Offset from the most stable computed form, eV per atom: 0.000
Size of the total moment, μB/cell: 0.0
Volume, A^3/atom: 36.18